## CaZnAg2 (PBEsol)

Data for a relaxed structure of CaZnAg2.

## Properties
ΔE_f	-0.152	eV per atom
space-group type	I-4m2 (119)

Unit cell a=4.336 b=4.336 c=5.069 alpha=115.32 beta=115.32 gamma=90.00
Atoms (fractional coordinates):
Zn (0.250, 0.750, 0.500)
Ca (0.500, 0.500, 0.000)
Ag (0.000, 0.000, 0.000)
Ag (0.750, 0.250, 0.500)